[1]
Material: Pr3TaTl3Se8
Method: DFT, GGA-PBE
State: relaxed

Formation energy (no corrections): -114.5 kJ/mol of atoms
Crystal system: trigonal
SG: R-3m
Size of the total moment: 0.55 μB per formula unit

Cell: 8.3673 8.3663 9.2736 Å, 116.83 90.00 120.00°
Last column: nearest neighbours and their distance in Å.
Sites, in units of the cell vectors:
Ta1 0.0000 0.0000 0.5000  6 Se 2.66
Se1 0.7856 0.5712 0.3018  1 Ta 2.66
Se2 0.7857 0.0159 0.3018  1 Ta 2.66
Pr1 0.0000 0.5000 0.5000  6 Se 2.97-3.00
Tl1 0.0000 0.0000 0.0000  6 Se 3.29-3.31
Se3 0.7697 0.9841 0.6982  1 Ta 2.66
Pr2 0.5000 0.5000 0.5000  6 Se 2.97-3.00
Se4 0.2144 0.4288 0.6982  1 Ta 2.66
Se5 0.7393 0.4786 0.7178  3 Pr 2.97, 3 Tl 3.29
Tl2 0.0000 0.5000 0.0000  6 Se 3.29-3.31
Se6 0.2143 0.9841 0.6982  1 Ta 2.66
Se7 0.2607 0.5214 0.2822  3 Pr 2.97, 3 Tl 3.29
Se8 0.2303 0.0159 0.3018  1 Ta 2.66
Pr3 0.5000 0.0000 0.5000  6 Se 2.97-3.00
Tl3 0.5000 0.5000 0.0000  6 Se 3.29-3.31



[2]
Material: Tb2PrSe4
Method: DFT, GGA-PBE
State: relaxed

Formation energy (no corrections): -180.8 kJ/mol of atoms
Crystal system: orthorhombic
SG: Cmcm
Size of the total moment: 0.00 μB per formula unit

Cell: 4.0542 7.0879 13.9499 Å, 90.00 90.00 106.62°
Last column: nearest neighbours and their distance in Å.
Sites, in units of the cell vectors:
Se1 0.7739 0.5478 0.3803  3 Tb 2.90-2.92, 2 Pr 3.05
Pr1 0.6242 0.2485 0.7500  6 Se 3.00-3.05
Se2 0.0385 0.0771 0.2500  2 Tb 2.83, 2 Pr 3.00
Se3 0.9615 0.9229 0.7500  2 Tb 2.83, 2 Pr 3.00
Se4 0.5000 0.0000 0.5000  4 Tb 2.85
Tb1 0.1303 0.2606 0.0680  6 Se 2.83-2.92
Se5 0.7739 0.5478 0.1197  3 Tb 2.90-2.92, 2 Pr 3.05
Pr2 0.3758 0.7515 0.2500  6 Se 3.00-3.05
Se6 0.2261 0.4522 0.6197  3 Tb 2.90-2.92, 2 Pr 3.05
Tb2 0.8697 0.7394 0.5680  6 Se 2.83-2.92
Tb3 0.8697 0.7394 0.9320  6 Se 2.83-2.92
Se7 0.2261 0.4522 0.8803  3 Tb 2.90-2.92, 2 Pr 3.05
Tb4 0.1303 0.2606 0.4320  6 Se 2.83-2.92
Se8 0.5000 0.0000 0.0000  4 Tb 2.85



[3]
Material: Tb2Pr2Se3
Method: DFT, GGA-PBE
State: relaxed

Formation energy (no corrections): -147.1 kJ/mol of atoms
Crystal system: triclinic
SG: P-1
Size of the total moment: 0.00 μB per formula unit

Cell: 4.0542 7.1094 7.2167 Å, 98.87 90.02 106.51°
Last column: nearest neighbours and their distance in Å.
Sites, in units of the cell vectors:
Tb1 0.3729 0.7462 0.1187  5 Se 2.84-2.89
Se1 0.2513 0.5030 0.7607  3 Tb 2.84-2.87, 3 Pr 2.98-2.99
Pr1 0.8783 0.7594 0.6142  4 Se 2.98-3.00
Tb2 0.6271 0.2538 0.8813  5 Se 2.84-2.89
Se2 0.0000 0.0000 0.0000  4 Tb 2.88-2.89, 2 Pr 3.00
Se3 0.7487 0.4970 0.2393  3 Tb 2.84-2.87, 3 Pr 2.98-2.99
Pr2 0.1217 0.2406 0.3858  4 Se 2.98-3.00



[4]
Material: TbPr4Se6
Method: DFT, GGA-PBE
State: relaxed

Formation energy (no corrections): -168.7 kJ/mol of atoms
Crystal system: trigonal
SG: R-3c
Size of the total moment: 0.00 μB per formula unit

Cell: 8.3925 8.3925 8.3925 Å, 88.94 88.94 91.06°
Last column: nearest neighbours and their distance in Å.
Sites, in units of the cell vectors:
Se1 0.0609 0.9162 0.3185  1 Tb 2.81, 2 Pr 3.01-3.06
Pr1 0.6354 0.8646 0.7500  8 Se 3.06-3.30
Pr2 0.2500 0.2500 0.7500  6 Se 3.01
Se2 0.9391 0.0838 0.6815  1 Tb 2.81, 2 Pr 3.01-3.06
Pr3 0.7500 0.3646 0.8646  8 Se 3.06-3.30
Se3 0.4162 0.5609 0.8185  1 Tb 2.81, 2 Pr 3.01-3.06
Se4 0.0838 0.3185 0.0609  1 Tb 2.81, 2 Pr 3.01-3.06
Se5 0.6815 0.0609 0.0838  1 Tb 2.81, 2 Pr 3.01-3.06
Se6 0.3185 0.9391 0.9162  1 Tb 2.81, 2 Pr 3.01-3.06
Se7 0.9162 0.6815 0.9391  1 Tb 2.81, 2 Pr 3.01-3.06
Pr4 0.3646 0.1354 0.2500  8 Se 3.06-3.30
Se8 0.5838 0.4391 0.1815  1 Tb 2.81, 2 Pr 3.01-3.06
Pr5 0.2500 0.6354 0.1354  8 Se 3.06-3.30
Se9 0.8185 0.5838 0.5609  1 Tb 2.81, 2 Pr 3.01-3.06
Pr6 0.8646 0.2500 0.3646  8 Se 3.06-3.30
Pr7 0.1354 0.7500 0.6354  8 Se 3.06-3.30
Tb1 0.0000 0.0000 0.0000  6 Se 2.81
Se10 0.1815 0.4162 0.4391  1 Tb 2.81, 2 Pr 3.01-3.06
Se11 0.4391 0.8185 0.4162  1 Tb 2.81, 2 Pr 3.01-3.06
Tb2 0.5000 0.5000 0.5000  6 Se 2.81
Se12 0.5609 0.1815 0.5838  1 Tb 2.81, 2 Pr 3.01-3.06
Pr8 0.7500 0.7500 0.2500  6 Se 3.01



[5]
Material: TbPr2Se3
Method: DFT, GGA-PBE
State: relaxed

Formation energy (no corrections): -175.2 kJ/mol of atoms
Crystal system: orthorhombic
SG: Immm
Size of the total moment: 0.00 μB per formula unit

Cell: 4.2053 5.9479 7.3043 Å, 114.03 106.73 90.00°
Last column: nearest neighbours and their distance in Å.
Sites, in units of the cell vectors:
Tb1 0.5000 0.5000 0.5000  6 Se 2.90-2.97
Se1 0.8428 0.3428 0.1857  2 Tb 2.90, 4 Pr 2.98-3.01
Pr1 0.1722 0.1722 0.8445  6 Se 2.98-3.03
Pr2 0.8278 0.8278 0.1555  6 Se 2.98-3.03
Se2 0.1572 0.6572 0.8143  2 Tb 2.90, 4 Pr 2.98-3.01
Se3 0.5000 0.0000 0.5000  2 Tb 2.97, 4 Pr 3.03



[6]
Material: TbPr2Se3
Method: DFT, GGA-PBE
State: relaxed

Formation energy (no corrections): -175.8 kJ/mol of atoms
Crystal system: orthorhombic
SG: Fddd
Size of the total moment: 0.00 μB per formula unit

Cell: 7.3208 7.3208 13.1779 Å, 100.88 100.88 108.69°
Last column: nearest neighbours and their distance in Å.
Sites, in units of the cell vectors:
Tb1 0.1670 0.6670 0.3340  6 Se 2.89-2.91
Pr1 0.6694 0.1694 0.3388  6 Se 3.02-3.04
Tb2 0.9170 0.9170 0.8340  6 Se 2.89-2.91
Se1 0.2365 0.2365 0.0000  2 Tb 2.89, 4 Pr 2.98-3.02
Se2 0.4865 0.9865 0.5000  2 Tb 2.89, 4 Pr 2.98-3.02
Pr2 0.9983 0.4983 0.9965  6 Se 2.98-3.03
Tb3 0.3330 0.8330 0.6660  6 Se 2.89-2.91
Se3 0.0849 0.0744 0.6713  2 Tb 2.91, 4 Pr 3.02-3.04
Se4 0.7635 0.7635 0.0000  2 Tb 2.89, 4 Pr 2.98-3.02
Se5 0.4031 0.4136 0.3287  2 Tb 2.91, 4 Pr 3.02-3.04
Se6 0.3244 0.8349 0.1713  2 Tb 2.91, 4 Pr 3.02-3.04
Se7 0.0135 0.5135 0.5000  2 Tb 2.89, 4 Pr 2.98-3.02
Se8 0.8469 0.3364 0.1713  2 Tb 2.91, 4 Pr 3.02-3.04
Se9 0.5864 0.5969 0.6713  2 Tb 2.91, 4 Pr 3.02-3.04
Pr3 0.2517 0.2517 0.5035  6 Se 2.98-3.03
Se10 0.9256 0.9151 0.3287  2 Tb 2.91, 4 Pr 3.02-3.04
Pr4 0.8306 0.3306 0.6612  6 Se 3.02-3.04
Tb4 0.0830 0.0830 0.1660  6 Se 2.89-2.91
Pr5 0.5806 0.5806 0.1612  6 Se 3.02-3.04
Pr6 0.4194 0.4194 0.8388  6 Se 3.02-3.04
Se11 0.6636 0.1531 0.8287  2 Tb 2.91, 4 Pr 3.02-3.04
Pr7 0.5017 0.0017 0.0035  6 Se 2.98-3.03
Se12 0.1651 0.6756 0.8287  2 Tb 2.91, 4 Pr 3.02-3.04
Pr8 0.7483 0.7483 0.4965  6 Se 2.98-3.03



Number 1: E_tot -5.264 eV per atom. Number 2: E_tot -5.870 eV per atom. Number 3: E_tot -5.706 eV per atom. Number 4: E_tot -5.808 eV per atom. Number 5: E_tot -5.923 eV per atom. Number 6: E_tot -5.929 eV per atom.